# 1
Density functional theory data (PBE-GGA) for a geometry-optimized ScTiNb structure.

Values from the calculation:
For the total magnetic moment, the calculation gives 0.00 μB/atom. Its formation energy is 174 meV per atom. For the raw total energy, the calculation gives -23.8 eV/cell. As for the space-group type: R3m (160). Its energy relative to the lowest polymorph listed for this composition is 124 meV per atom.

```
3
Lattice="-2.419 -1.062 1.444 -2.424 -0.867 -1.560 1.156 -7.574 -0.494" Properties=species:S:1:pos:R:3 pbc="T T T"
Nb -2.243 -3.750 -0.239
Ti 0.253 -5.315 -0.346
Sc -1.575 -0.741 -0.045
```

***

# 2
Density functional theory data (PBE-GGA) for a geometry-optimized MnTcAs2 structure.

Values from the calculation:
For the total magnetic moment, the calculation gives 0.00 μB/atom. Its formation energy is -13 meV per atom. For the raw total energy, the calculation gives -28.9 eV/cell. As for the space-group type: P4mm (99). Its energy relative to the lowest polymorph listed for this composition is 94 meV per atom.

```
4
Lattice="2.872 0.009 0.000 -0.009 2.872 0.000 0.000 0.000 7.770" Properties=species:S:1:pos:R:3 pbc="T T T"
As 0.000 0.000 7.311
As 1.431 1.440 2.523
Tc 1.431 1.440 5.594
Mn 0.000 0.000 3.998
```

***

# 3
Density functional theory data (PBE-GGA) for a geometry-optimized CSe2 structure.

Values from the calculation:
For the total magnetic moment, the calculation gives 0.00 μB/atom. For the raw total energy, the calculation gives -12.0 eV/cell. As for the space-group type: P-3m1 (164). The formation energy (no corrections) is 1.39 eV per atom. Its energy relative to the lowest polymorph listed for this composition is 834 meV per atom.

```
3
Lattice="-0.521 1.241 2.808 -2.316 -0.189 -2.073 -1.582 -5.876 2.302" Properties=species:S:1:pos:R:3 pbc="T T T"
C 0.000 0.000 0.000
Se -2.050 -0.946 0.037
Se -2.369 -3.878 3.000
```